[1]
A plane-wave DFT calculation with PBE was carried out for a relaxed La2PrGdZn12Ge6 crystal.

The structure in POSCAR format:
```
La2PrGdZn12Ge6
1.0
7.6916 0.0000 0.0000
0.0000 4.1156 0.0000
-0.0008 0.0000 13.3211
La Pr Gd Zn Ge
2 1 1 12 6
Cartesian
0.0000 0.0000 0.0000 La
3.8440 0.0000 2.2503 La
3.8369 0.0000 6.7027 Pr
7.6859 0.0000 8.8913 Gd
1.0977 2.0578 6.3937 Zn
1.1066 2.0578 2.5471 Zn
1.4481 0.0000 4.4770 Zn
1.6187 2.0578 11.1003 Zn
3.0808 0.0000 9.8617 Zn
3.1337 0.0000 12.3713 Zn
4.9393 2.0578 9.1941 Zn
4.9612 2.0578 13.0215 Zn
5.2969 0.0000 11.0797 Zn
5.4759 2.0578 4.4908 Zn
6.9635 0.0000 5.7425 Zn
6.9714 0.0000 3.2143 Zn
2.3315 2.0578 8.5814 Ge
2.3832 2.0578 0.3256 Ge
2.9294 2.0578 4.4779 Ge
6.2288 2.0578 1.9311 Ge
6.2380 2.0578 7.0410 Ge
6.7847 2.0578 11.0697 Ge
```

Calculated values
VASP energy: -3.260 eV per atom
Space group: No. 6



[2]
A plane-wave DFT calculation with PBE was carried out for a relaxed LaTaNO crystal.

The structure in POSCAR format:
```
LaTaNO
1.0
6.6134 0.0000 0.0000
0.0000 7.3917 0.0000
0.0000 0.0000 5.2629
La Ta N O
4 4 4 4
Cartesian
0.4237 1.0920 0.0000 La
2.8830 1.0920 2.6314 La
3.7304 6.2997 0.0000 La
6.1897 6.2997 2.6314 La
0.8358 4.6864 0.0414 Ta
2.4709 4.6864 2.6728 Ta
4.1426 2.7053 0.0414 Ta
5.7776 2.7053 2.6728 Ta
0.6734 3.9781 3.3717 N
2.6333 3.9781 0.7403 N
3.9801 3.4136 3.3717 N
5.9400 3.4136 0.7403 N
0.4857 1.1413 2.5888 O
2.8211 1.1413 5.2203 O
3.7924 6.2504 2.5888 O
6.1278 6.2504 5.2203 O
```

Calculated values
VASP energy: -9.146 eV per atom
Excess energy over the best structure of this formula in the dataset: 221.7 meV/atom
Space group: No. 29



[3]
A plane-wave DFT calculation with PBE was carried out for a relaxed Fe2ReBi crystal.

The structure in POSCAR format:
```
Fe2ReBi
1.0
0.0000 3.0971 3.0971
3.0971 0.0000 3.0971
3.0971 3.0971 0.0000
Fe Re Bi
2 1 1
Cartesian
0.0000 0.0000 0.0000 Fe
1.5486 1.5486 1.5486 Fe
4.6457 4.6457 4.6457 Re
3.0971 3.0971 3.0971 Bi
```

Calculated values
VASP energy: -7.513 eV per atom
Space group: No. 216



[4]
A plane-wave DFT calculation with PBE was carried out for a relaxed LuZnFeNi crystal.

The structure in POSCAR format:
```
LuZnFeNi
1.0
0.0000 3.1519 3.1519
3.1519 0.0000 3.1519
3.1519 3.1519 0.0000
Lu Zn Fe Ni
1 1 1 1
Cartesian
0.0000 0.0000 0.0000 Lu
1.5759 1.5759 1.5759 Zn
3.1519 3.1519 3.1519 Fe
4.7278 4.7278 4.7278 Ni
```

Calculated values
VASP energy: -4.942 eV per atom
Excess energy over the best structure of this formula in the dataset: 28.2 meV/atom
Space group: No. 216
DFT formation energy: -2.5 kJ/mol of atoms